# 1
Compound: TbDy3Y2Ho6
Source: Alexandria via LeMat-Bulk
Functional: PBE
Structure: relaxed

Values from the calculation:
* formation enthalpy at 0 K: 0.02 eV/atom
* crystal system: monoclinic
* space-group type: C2/m, No. 12

a = 6.1268 Å, b = 6.1268 Å, c = 11.7309 Å
α = 94.97°, β = 94.97°, γ = 119.94°
With the nearest neighbours (Å) after each atom.
Fractional positions:
Tb  0.0000  0.0000  0.0000  6 Y 3.54, 6 Ho 3.54-3.55
Dy  0.1668  0.8332  0.5000  6 Ho 3.53, 6 Dy 3.54
Dy  0.8332  0.1668  0.5000  6 Ho 3.53, 6 Dy 3.54
Dy  0.5000  0.5000  0.5000  6 Ho 3.53, 6 Dy 3.54
Y  0.3333  0.6667  0.0000  3 Tb 3.54, 3 Y 3.54, 6 Ho 3.54-3.55
Y  0.6667  0.3333  0.0000  3 Tb 3.54, 3 Y 3.54, 6 Ho 3.54-3.55
Ho  0.9158  0.5831  0.7491  3 Dy 3.53, 6 Ho 3.53-3.54, 2 Y 3.54-3.55, 1 Tb 3.55
Ho  0.7514  0.7514  0.2509  3 Dy 3.53, 6 Ho 3.53-3.54, 1 Tb 3.54, 2 Y 3.55
Ho  0.0842  0.4169  0.2509  3 Dy 3.53, 6 Ho 3.53-3.54, 2 Y 3.54-3.55, 1 Tb 3.55
Ho  0.5831  0.9158  0.7491  3 Dy 3.53, 6 Ho 3.53-3.54, 2 Y 3.54-3.55, 1 Tb 3.55
Ho  0.2486  0.2486  0.7491  3 Dy 3.53, 6 Ho 3.53-3.54, 1 Tb 3.54, 2 Y 3.55
Ho  0.4169  0.0842  0.2509  3 Dy 3.53, 6 Ho 3.53-3.54, 2 Y 3.54-3.55, 1 Tb 3.55


# 2
Compound: KTe2Se
Source: Alexandria via LeMat-Bulk
Functional: PBE
Structure: relaxed

Values from the calculation:
* energy relative to the elements, uncorrected: -0.18 eV/atom
* crystal system: tetragonal
* space-group type: I4/mmm, No. 139

a = 6.5385 Å, b = 6.5385 Å, c = 6.5385 Å
α = 139.48°, β = 139.48°, γ = 58.64°
With the nearest neighbours (Å) after each atom.
Fractional positions:
K  0.2500  0.7500  0.5000  4 Se 3.20
Se  0.7500  0.2500  0.5000  4 K 3.20
Te  0.0000  0.0000  0.0000  4 Te 3.20
Te  0.5000  0.5000  0.0000  4 Te 3.20


# 3
Compound: LaTb12Dy3
Source: Alexandria via LeMat-Bulk
Functional: PBE
Structure: relaxed

Values from the calculation:
* formation enthalpy at 0 K: 0.02 eV/atom
* crystal system: tetragonal
* space-group type: P4/mmm, No. 123

a = 5.0484 Å, b = 5.0484 Å, c = 20.2072 Å
α = 90.00°, β = 90.00°, γ = 90.00°
With the nearest neighbours (Å) after each atom.
Fractional positions:
La  0.0000  0.0000  0.0000  12 Tb 3.57-3.61
Tb  0.5000  0.5000  0.0000  4 La 3.57, 8 Tb 3.61
Tb  0.5000  0.5000  0.2524  8 Tb 3.55-3.56, 4 Dy 3.57
Tb  0.5000  0.5000  0.5000  8 Tb 3.56, 4 Dy 3.57
Tb  0.5000  0.5000  0.7476  8 Tb 3.55-3.56, 4 Dy 3.57
Tb  0.5000  0.0000  0.1279  2 Dy 3.55, 8 Tb 3.56-3.61, 2 La 3.61
Tb  0.5000  0.0000  0.3758  8 Tb 3.55-3.57, 4 Dy 3.56-3.57
Tb  0.5000  0.0000  0.6242  8 Tb 3.55-3.57, 4 Dy 3.56-3.57
Tb  0.5000  0.0000  0.8721  2 Dy 3.55, 8 Tb 3.56-3.61, 2 La 3.61
Tb  0.0000  0.5000  0.1279  2 Dy 3.55, 8 Tb 3.56-3.61, 2 La 3.61
Tb  0.0000  0.5000  0.3758  8 Tb 3.55-3.57, 4 Dy 3.56-3.57
Tb  0.0000  0.5000  0.6242  8 Tb 3.55-3.57, 4 Dy 3.56-3.57
Tb  0.0000  0.5000  0.8721  2 Dy 3.55, 8 Tb 3.56-3.61, 2 La 3.61
Dy  0.0000  0.0000  0.2512  12 Tb 3.55-3.57
Dy  0.0000  0.0000  0.5000  12 Tb 3.56-3.57
Dy  0.0000  0.0000  0.7488  12 Tb 3.55-3.57


# 4
Compound: PrCo2As2
Source: Alexandria via LeMat-Bulk
Functional: PBE
Structure: relaxed

Values from the calculation:
* formation enthalpy at 0 K: -0.73 eV/atom
* crystal system: tetragonal
* space-group type: I4/mmm, No. 139

a = 4.0619 Å, b = 4.0619 Å, c = 5.9002 Å
α = 110.12°, β = 110.12°, γ = 89.96°
With the nearest neighbours (Å) after each atom.
Fractional positions:
Pr  0.0000  0.0000  0.0000  8 As 3.20, 8 Co 3.28
As  0.3636  0.3636  0.7274  4 Co 2.34-2.35
As  0.6364  0.6364  0.2726  4 Co 2.34-2.35
Co  0.2498  0.7502  0.5000  4 As 2.34-2.35
Co  0.7502  0.2498  0.5000  4 As 2.34-2.35


| no. | DFT total energy (eV/f.u.) |
| --- | --- |
| 1 | -58.60 |
| 2 | -11.57 |
| 3 | -73.97 |
| 4 | -31.92 |